Entry 1:
A plane-wave DFT calculation with GGA-PBE was carried out for Tc2Rh3 after structural relaxation.

Results
Relative energy among the computed polymorphs (meV/atom): 199
E_form (eV/atom): 0.24
V (Å³ per cell): 310.5

Cell: 9.268 4.108 8.155 Å, 90.00 90.00 90.00°
Space group Pnma (No. 62)
Unique sites:
Tc (0.048, 0.250, 0.163) (multiplicity 4)
Tc (0.198, 0.250, 0.439) (multiplicity 4)
Rh (0.032, 0.750, 0.363) (multiplicity 4)
Rh (0.152, 0.250, 0.870) (multiplicity 4)
Rh (0.179, 0.750, 0.642) (multiplicity 4)

Entry 2:
A plane-wave DFT calculation with GGA-PBE was carried out for Tc3Rh after structural relaxation.

Results
Relative energy among the computed polymorphs (meV/atom): 60
E_form (eV/atom): -0.10
V (Å³ per cell): 57.5

Cell: 2.749 4.382 4.776 Å, 90.00 90.00 90.00°
Space group Pmm2 (No. 25)
Unique sites:
Tc (0.000, 0.000, 0.000) (multiplicity 1)
Tc (0.000, 0.500, 0.328) (multiplicity 1)
Tc (0.500, 0.500, 0.830) (multiplicity 1)
Rh (0.500, 0.000, 0.492) (multiplicity 1)

Entry 3:
A plane-wave DFT calculation with GGA-PBE was carried out for TcRh5 after structural relaxation.

Results
Relative energy among the computed polymorphs (meV/atom): 5
E_form (eV/atom): -0.06
V (Å³ per cell): 170.5

Cell: 4.385 2.733 14.223 Å, 90.00 90.00 90.00°
Space group Amm2 (No. 38)
Unique sites:
Tc (0.000, 0.000, 0.000) (multiplicity 2)
Rh (0.000, 0.000, 0.335) (multiplicity 2)
Rh (0.000, 0.000, 0.662) (multiplicity 2)
Rh (0.500, 0.000, 0.110) (multiplicity 2)
Rh (0.500, 0.000, 0.443) (multiplicity 2)
Rh (0.500, 0.000, 0.776) (multiplicity 2)

Please write out number 2 again, unchanged.
A plane-wave DFT calculation with GGA-PBE was carried out for Tc3Rh after structural relaxation.

Results
Relative energy among the computed polymorphs (meV/atom): 60
E_form (eV/atom): -0.10
V (Å³ per cell): 57.5

Cell: 2.749 4.382 4.776 Å, 90.00 90.00 90.00°
Space group Pmm2 (No. 25)
Unique sites:
Tc (0.000, 0.000, 0.000) (multiplicity 1)
Tc (0.000, 0.500, 0.328) (multiplicity 1)
Tc (0.500, 0.500, 0.830) (multiplicity 1)
Rh (0.500, 0.000, 0.492) (multiplicity 1)